No. 1
Compound: Zr6In5Sn
Source: Alexandria via LeMat-Bulk
Functional: PBE
Structure: relaxed

DOS(E_F) (states/eV per atom): 0.629
Uncorrected energy (eV per atom): -6.089
Space-group type: Immm (71)
Density (Mg/m³): 7.73

Unit cell a=4.483 b=8.339 c=8.339 alpha=106.79 beta=105.61 gamma=105.61
Positions (direct):
Sn 0.000 0.000 0.000
Zr 0.246 0.080 0.412
Zr 0.754 0.588 0.920
Zr 0.743 0.243 0.243
Zr 0.257 0.757 0.757
Zr 0.246 0.412 0.080
Zr 0.754 0.920 0.588
In 0.500 0.173 0.827
In 0.000 0.337 0.663
In 0.500 0.500 0.500
In 0.000 0.663 0.337
In 0.500 0.827 0.173


No. 2
Compound: SrIn7
Source: Alexandria via LeMat-Bulk
Functional: PBE
Structure: relaxed

DOS(E_F) (states/eV per atom): 0.356
Uncorrected energy (eV per atom): -2.741
Space-group type: Fm-3m (225)
Density (Mg/m³): 6.60

Unit cell a=6.820 b=6.820 c=6.820 alpha=60.00 beta=60.00 gamma=60.00
Positions (direct):
Sr 0.000 0.000 0.000
In 0.500 0.500 0.000
In 0.500 0.000 0.500
In 0.000 0.500 0.500
In 0.500 0.000 0.000
In 0.000 0.500 0.000
In 0.000 0.000 0.500
In 0.500 0.500 0.500


No. 3
Compound: SrIn2
Source: Alexandria via LeMat-Bulk
Functional: PBE
Structure: relaxed

DOS(E_F) (states/eV per atom): 0.382
Uncorrected energy (eV per atom): -2.791
Space-group type: P6_3/mmc (194)
Density (Mg/m³): 5.74

Unit cell a=5.123 b=5.123 c=16.164 alpha=90.00 beta=90.00 gamma=120.00
Positions (direct):
Sr 0.000 0.000 0.000
Sr 0.000 0.000 0.750
Sr 0.000 0.000 0.500
Sr 0.000 0.000 0.250
In 0.667 0.333 0.384
In 0.333 0.667 0.884
In 0.333 0.667 0.616
In 0.667 0.333 0.116
In 0.333 0.667 0.133
In 0.667 0.333 0.633
In 0.333 0.667 0.367
In 0.667 0.333 0.867


No. 4
Compound: Sr8In
Source: Alexandria via LeMat-Bulk
Functional: PBE
Structure: relaxed

DOS(E_F) (states/eV per atom): 0.887
Uncorrected energy (eV per atom): -1.853
Space-group type: I4/mmm (139)
Density (Mg/m³): 3.14

Unit cell a=9.120 b=9.120 c=9.120 alpha=95.74 beta=95.74 gamma=143.11
Positions (direct):
Sr 0.655 0.345 0.000
Sr 0.345 0.655 0.000
Sr 0.000 0.679 0.679
Sr 0.345 0.345 0.689
Sr 0.679 0.000 0.679
Sr 0.655 0.655 0.311
Sr 0.000 0.321 0.321
Sr 0.321 0.000 0.321
In 0.000 0.000 0.000


No. 5
Compound: SrIn4
Source: Alexandria via LeMat-Bulk
Functional: PBE
Structure: relaxed

DOS(E_F) (states/eV per atom): 0.509
Uncorrected energy (eV per atom): -2.786
Space-group type: Imma (74)
Density (Mg/m³): 6.30

Unit cell a=4.780 b=7.475 c=9.208 alpha=113.95 beta=105.04 gamma=90.00
Positions (direct):
Sr 0.878 0.128 0.757
Sr 0.122 0.872 0.243
In 0.094 0.344 0.187
In 0.906 0.656 0.813
In 0.500 0.000 0.000
In 0.500 0.500 0.000
In 0.692 0.238 0.385
In 0.308 0.762 0.615
In 0.308 0.353 0.615
In 0.692 0.647 0.385


No. 6
Compound: SrIn4
Source: Alexandria via LeMat-Bulk
Functional: PBE
Structure: relaxed

DOS(E_F) (states/eV per atom): 0.303
Uncorrected energy (eV per atom): -2.806
Space-group type: C2/m (12)
Density (Mg/m³): 6.23

Unit cell a=6.637 b=6.637 c=10.137 alpha=67.96 beta=67.96 gamma=45.57
Positions (direct):
In 0.159 0.159 0.649
In 0.841 0.841 0.351
In 0.154 0.154 0.947
In 0.846 0.846 0.053
In 0.423 0.423 0.423
In 0.577 0.577 0.577
In 0.436 0.436 0.896
In 0.564 0.564 0.104
Sr 0.161 0.161 0.294
Sr 0.839 0.839 0.706


No. 7
Compound: Sr4In
Source: Alexandria via LeMat-Bulk
Functional: PBE
Structure: relaxed

DOS(E_F) (states/eV per atom): 1.024
Uncorrected energy (eV per atom): -1.878
Space-group type: Im-3m (229)
Density (Mg/m³): 3.05
Energy above the most stable polymorph in this dataset (meV per atom): 146

Unit cell a=6.907 b=6.907 c=6.907 alpha=109.47 beta=109.47 gamma=109.47
Positions (direct):
Sr 0.500 0.000 0.000
Sr 0.500 0.500 0.500
Sr 0.000 0.500 0.000
Sr 0.000 0.000 0.500
In 0.000 0.000 0.000


No. 8
Compound: Sr2In
Source: Alexandria via LeMat-Bulk
Functional: PBE
Structure: relaxed

DOS(E_F) (states/eV per atom): 1.270
Uncorrected energy (eV per atom): -2.206
Space-group type: Pa-3 (205)
Density (Mg/m³): 3.44

Unit cell a=8.240 b=8.240 c=8.240 alpha=90.00 beta=90.00 gamma=90.00
Last column: magnetic moment on the atom in μB.
Positions (direct):
Sr 0.665 0.665 0.335  0.06
Sr 0.335 0.335 0.665  0.06
Sr 0.165 0.835 0.665  0.06
Sr 0.835 0.165 0.335  0.06
Sr 0.335 0.165 0.165  0.06
Sr 0.665 0.835 0.835  0.06
Sr 0.835 0.335 0.835  0.06
Sr 0.165 0.665 0.165  0.06
In 0.000 0.000 0.000  0.19
In 0.500 0.500 0.000  0.19
In 0.500 0.000 0.500  0.19
In 0.000 0.500 0.500  0.19


- Which of these has the highest DOS(E_F)?
  Sr2In